NpNiP: optimized geometry, PBE.

Cell and atoms, written as POSCAR:
```
NpNiP
1.0
5.2846 0.0000 -0.1748
0.0000 5.6396 0.0000
-1.7279 0.0000 6.5787
Ni P Np
4 4 4
Direct
0.8099 0.6041 0.0384 Ni
0.6901 0.1041 0.4616 Ni
0.1901 0.3959 0.9616 Ni
0.3099 0.8959 0.5384 Ni
0.4320 0.6085 0.7760 P
0.0680 0.1085 0.7240 P
0.5680 0.3915 0.2240 P
0.9320 0.8915 0.2760 P
0.8453 0.6116 0.6056 Np
0.1547 0.3884 0.3944 Np
0.3453 0.8884 0.1056 Np
0.6547 0.1116 0.8944 Np
```

Summary:
Its space group is P2_1/c, No. 14. The total energy is -8.6651 eV/atom. For the energy of formation, the calculation gives -0.62 eV/atom.

Li2Dy2MgPd5: optimized geometry, PBE.

Cell and atoms, written as POSCAR:
```
Li2Dy2MgPd5
1.0
3.6398 0.0000 0.0000
0.0000 9.6525 0.0000
0.0000 0.0000 9.6525
Li Pd Dy Mg
4 10 4 2
Direct
0.0000 0.1210 0.6210 Li
0.0000 0.3790 0.1210 Li
0.0000 0.6210 0.8790 Li
0.0000 0.8790 0.3790 Li
0.5000 0.2928 0.5674 Pd
0.5000 0.7928 0.9326 Pd
0.5000 0.5000 0.0000 Pd
0.5000 0.5674 0.7072 Pd
0.5000 0.0000 0.5000 Pd
0.5000 0.2072 0.0674 Pd
0.5000 0.0674 0.7928 Pd
0.5000 0.4326 0.2928 Pd
0.5000 0.7072 0.4326 Pd
0.5000 0.9326 0.2072 Pd
0.0000 0.1776 0.3224 Dy
0.0000 0.8224 0.6776 Dy
0.0000 0.6776 0.1776 Dy
0.0000 0.3224 0.8224 Dy
0.0000 0.5000 0.5000 Mg
0.0000 0.0000 0.0000 Mg
```

Summary:
Its space group is P4/mbm, No. 127. The total energy is -4.7456 eV/atom. For the energy of formation, the calculation gives -0.69 eV/atom.

YThSc6: optimized geometry, PBE.

Cell and atoms, written as POSCAR:
```
YThSc6
1.0
-4.0311 2.1719 1.0057
-1.4950 -4.8184 4.4138
3.0799 3.4790 4.8317
Th Sc Y
1 6 1
Direct
0.5000 0.0000 0.0000 Th
0.0000 0.7535 0.7535 Sc
0.0000 0.7533 0.2467 Sc
0.5000 0.5000 0.0000 Sc
0.5000 0.0000 0.5000 Sc
0.0000 0.2467 0.7533 Sc
0.0000 0.2465 0.2465 Sc
0.5000 0.5000 0.5000 Y
```

Summary:
Its energy above the lowest structure with this stoichiometry is 22 meV/atom. Its space group is Cmmm, No. 65. The total energy is -6.4423 eV/atom. For the energy of formation, the calculation gives 0.04 eV/atom.

AcAgI: optimized geometry, PBE.

Cell and atoms, written as POSCAR:
```
AcAgI
1.0
4.1095 0.0000 0.0000
0.0000 4.1095 0.0000
-2.0547 -2.0547 5.7708
Ag I Ac
1 1 1
Direct
0.3214 0.3214 0.6428 Ag
0.0003 0.0003 0.0007 I
0.6783 0.6783 0.3566 Ac
```

Summary:
Its energy above the lowest structure with this stoichiometry is 295 meV/atom. Its space group is I4mm, No. 107. The total energy is -3.3614 eV/atom. As for the formation energy without anion corrections: -525 meV per atom.

La3Tl2Zn4: optimized geometry, PBE.

Cell and atoms, written as POSCAR:
```
La3Tl2Zn4
1.0
-4.1198 -2.3552 0.6388
4.6909 -3.6871 -1.2873
0.0396 2.3443 8.8986
Tl La Zn
2 3 4
Direct
0.3852 0.7704 0.7205 Tl
0.6148 0.2296 0.2795 Tl
0.3348 0.6696 0.3273 La
0.6652 0.3304 0.6727 La
0.0000 0.0000 0.0000 La
0.0691 0.1382 0.4143 Zn
0.7158 0.4316 0.0361 Zn
0.2842 0.5684 0.9639 Zn
0.9309 0.8618 0.5857 Zn
```

Summary:
Its space group is C2/m, No. 12. The total energy is -3.0920 eV/atom. For the energy of formation, the calculation gives -0.36 eV/atom.

Ho2ThCo: optimized geometry, PBE.

Cell and atoms, written as POSCAR:
```
Ho2ThCo
1.0
-3.3351 1.2689 -0.7125
0.1410 -5.9047 -1.9287
-2.9571 -2.9029 8.6710
Ho Th Co
4 2 2
Direct
0.8594 0.7205 0.9275 Ho
0.1406 0.2795 0.0725 Ho
0.8594 0.7205 0.5725 Ho
0.1406 0.2795 0.4275 Ho
0.5901 0.1797 0.7500 Th
0.4099 0.8203 0.2500 Th
0.2469 0.4940 0.7500 Co
0.7531 0.5060 0.2500 Co
```

Summary:
Its energy above the lowest structure with this stoichiometry is 36 meV/atom. Its space group is P2_1/m, No. 11. The total energy is -6.0915 eV/atom. For the energy of formation, the calculation gives -0.17 eV/atom.

AlZnCd2Pt: optimized geometry, PBE.

Cell and atoms, written as POSCAR:
```
AlZnCd2Pt
1.0
-4.3180 1.7085 1.5445
-0.6680 -3.8501 2.3914
2.1898 2.0288 3.8779
Zn Pt Cd Al
1 1 2 1
Direct
0.0000 0.0000 0.0000 Zn
0.5000 0.5000 0.5000 Pt
0.0000 0.0000 0.5000 Cd
0.5000 0.0000 0.0000 Cd
0.0000 0.5000 0.0000 Al
```

Summary:
Its space group is P4/mmm, No. 123. The total energy is -2.0104 eV/atom. For the energy of formation, the calculation gives 0.57 eV/atom.

LiAsWBr2: optimized geometry, PBE.

Cell and atoms, written as POSCAR:
```
LiAsWBr2
1.0
4.5930 0.0000 0.0000
0.0000 4.5930 0.0000
0.0000 0.0000 5.3358
Br W Li As
2 1 1 1
Direct
0.0000 0.5000 0.0000 Br
0.5000 0.0000 0.0000 Br
0.5000 0.5000 0.5000 W
0.0000 0.0000 0.0000 Li
0.0000 0.0000 0.5000 As
```

Summary:
Its energy above the lowest structure with this stoichiometry is 815 meV/atom. Its space group is P4/mmm, No. 123. The total energy is -3.6370 eV/atom. As for the formation energy without anion corrections: 935 meV per atom.

AgPSe2: optimized geometry, PBE.

Cell and atoms, written as POSCAR:
```
AgPSe2
1.0
-1.8038 2.1138 5.5547
1.8038 -2.1138 5.5547
1.8038 2.1138 -5.5547
P Se Ag
1 2 1
Direct
0.5000 0.0000 0.5000 P
0.3321 0.3321 0.0000 Se
0.6679 0.6679 0.0000 Se
0.0000 0.5000 0.5000 Ag
```

Summary:
Its space group is Immm, No. 71. The total energy is -3.5229 eV/atom. As for the formation energy without anion corrections: 285 meV per atom.

Sr2GeO4: optimized geometry, PBE.

Cell and atoms, written as POSCAR:
```
Sr2GeO4
1.0
5.8106 0.0000 -0.0618
0.0000 5.9850 0.0000
-2.2076 0.0000 6.6233
O Sr Ge
8 4 2
Direct
0.4510 0.9799 0.2554 O
0.5490 0.4799 0.7446 O
0.0447 0.7500 0.3461 O
0.4510 0.5201 0.2554 O
0.5490 0.0201 0.7446 O
0.9249 0.2500 0.0651 O
0.9553 0.2500 0.6539 O
0.0751 0.7500 0.9349 O
0.3179 0.2500 0.9696 Sr
0.7863 0.7500 0.5695 Sr
0.6821 0.7500 0.0304 Sr
0.2137 0.2500 0.4305 Sr
0.7573 0.2500 0.8013 Ge
0.2427 0.7500 0.1987 Ge
```

Summary:
Its space group is P2_1/m, No. 11. The total energy is -6.4313 eV/atom. As for the formation energy without anion corrections: -2458 meV per atom.

NiPd2Pt: optimized geometry, PBE.

Cell and atoms, written as POSCAR:
```
NiPd2Pt
1.0
2.7438 -0.0005 0.0000
-1.3725 5.1000 0.0000
0.0000 0.0000 8.3088
Pd Ni Pt
4 2 2
Direct
0.6310 0.2631 0.0258 Pd
0.6310 0.2631 0.4742 Pd
0.3690 0.7369 0.9742 Pd
0.3690 0.7369 0.5258 Pd
0.2468 0.4942 0.2500 Ni
0.7532 0.5058 0.7500 Ni
0.0304 0.0601 0.7500 Pt
0.9696 0.9399 0.2500 Pt
```

Summary:
Its space group is Cmcm, No. 63. The total energy is -5.5320 eV/atom. For the energy of formation, the calculation gives 0.02 eV/atom.

Ac2GaSn4Ir3: optimized geometry, PBE.

Cell and atoms, written as POSCAR:
```
Ac2GaSn4Ir3
1.0
4.7085 0.0000 0.0000
0.0000 4.7085 0.0000
0.0000 0.0000 10.7027
Ga Ir Sn Ac
1 3 4 2
Direct
0.5000 0.5000 0.5000 Ga
0.0000 0.5000 0.1235 Ir
0.0000 0.0000 0.5000 Ir
0.5000 0.0000 0.8765 Ir
0.0000 0.0000 0.0000 Sn
0.0000 0.5000 0.3676 Sn
0.5000 0.0000 0.6324 Sn
0.5000 0.5000 0.0000 Sn
0.0000 0.5000 0.7442 Ac
0.5000 0.0000 0.2558 Ac
```

Summary:
Its space group is P-4m2, No. 115. The total energy is -5.9332 eV/atom. For the energy of formation, the calculation gives -0.55 eV/atom.

CdTeRh2: optimized geometry, PBE.

Cell and atoms, written as POSCAR:
```
CdTeRh2
1.0
3.2076 -3.3248 0.0000
3.2076 3.3248 0.0000
0.0000 0.0000 3.3101
Rh Te Cd
2 1 1
Direct
0.0000 0.5000 0.0000 Rh
0.5000 0.0000 0.0000 Rh
0.0000 0.0000 0.5000 Te
0.5000 0.5000 0.5000 Cd
```

Summary:
Its energy above the lowest structure with this stoichiometry is 28 meV/atom. Its space group is Cmmm, No. 65. The total energy is -4.7575 eV/atom. As for the formation energy without anion corrections: -68 meV per atom.

AlCoNi6: optimized geometry, PBE.

Cell and atoms, written as POSCAR:
```
AlCoNi6
1.0
-0.9652 -2.8359 -5.3721
2.1744 -6.1479 -1.2476
-1.8075 -4.0014 -1.0821
Ni Co Al
6 1 1
Direct
0.5336 0.7482 0.6815 Ni
0.2518 0.0371 0.2449 Ni
0.0372 0.5341 0.1768 Ni
0.9628 0.4659 0.8232 Ni
0.7482 0.9629 0.7551 Ni
0.4664 0.2518 0.3185 Ni
0.5000 0.5000 0.5000 Co
0.0000 0.0000 0.0000 Al
```

Summary:
Its energy above the lowest structure with this stoichiometry is 129 meV/atom. Its space group is R-3, No. 148. The total energy is -5.7665 eV/atom. For the energy of formation, the calculation gives -0.07 eV/atom.

RbPtBr: optimized geometry, PBE.

Cell and atoms, written as POSCAR:
```
RbPtBr
1.0
0.0000 3.5553 3.5553
3.5553 0.0000 3.5553
3.5553 3.5553 0.0000
Pt Br Rb
1 1 1
Direct
0.5000 0.5000 0.5000 Pt
0.7500 0.7500 0.7500 Br
0.2500 0.2500 0.2500 Rb
```

Summary:
Its energy above the lowest structure with this stoichiometry is 822 meV/atom. Its space group is F-43m, No. 216. The total energy is -2.7342 eV/atom. As for the formation energy without anion corrections: 160 meV per atom.

NbAlS3: optimized geometry, PBE.

Cell and atoms, written as POSCAR:
```
NbAlS3
1.0
4.5296 0.0000 0.0000
0.0000 4.5296 0.0000
0.0000 0.0000 4.5296
S Al Nb
3 1 1
Direct
0.0000 0.0000 0.5000 S
0.5000 0.0000 0.0000 S
0.0000 0.5000 0.0000 S
0.0000 0.0000 0.0000 Al
0.5000 0.5000 0.5000 Nb
```

Summary:
Its energy above the lowest structure with this stoichiometry is 340 meV/atom. Its space group is Pm-3m, No. 221. The total energy is -5.1848 eV/atom. As for the formation energy without anion corrections: 54 meV per atom.

UPa2Os: optimized geometry, PBE.

Cell and atoms, written as POSCAR:
```
UPa2Os
1.0
-2.4014 -1.9506 1.7039
2.5739 -2.0563 1.2734
0.5618 4.1002 5.4856
Pa U Os
2 1 1
Direct
0.0000 0.0000 0.7355 Pa
0.0000 0.0000 0.2645 Pa
0.5000 0.5000 0.0000 U
0.5000 0.5000 0.5000 Os
```

Summary:
Its energy above the lowest structure with this stoichiometry is 119 meV/atom. Its space group is P4/mmm, No. 123. The total energy is -10.3716 eV/atom. For the energy of formation, the calculation gives 0.01 eV/atom.

Pt2Cl2F: optimized geometry, PBE.

Cell and atoms, written as POSCAR:
```
Pt2Cl2F
1.0
-2.2933 -0.1894 2.9893
2.0422 -2.8529 1.3860
3.6835 2.7567 5.3808
Pt F Cl
2 1 2
Direct
0.2500 0.7500 0.5000 Pt
0.7500 0.2500 0.5000 Pt
0.0000 0.0000 0.0000 F
0.3878 0.3878 0.2244 Cl
0.6122 0.6122 0.7756 Cl
```

Summary:
Its energy above the lowest structure with this stoichiometry is 5 meV/atom. Its space group is I4/mmm, No. 139. The total energy is -3.1677 eV/atom. As for the formation energy without anion corrections: 362 meV per atom.

SmMnTl2Cl8: optimized geometry, PBE.

Cell and atoms, written as POSCAR:
```
SmMnTl2Cl8
1.0
7.0740 -0.1883 0.0529
-0.1733 6.7906 -0.0684
0.0677 -0.0624 8.0281
Cl Tl Sm Mn
8 2 1 1
Direct
0.7206 0.8295 0.9992 Cl
0.6749 0.7751 0.5041 Cl
0.8727 0.2335 0.7506 Cl
0.2794 0.1705 0.0008 Cl
0.1273 0.7665 0.2494 Cl
0.1126 0.7974 0.7805 Cl
0.3251 0.2249 0.4959 Cl
0.8874 0.2026 0.2195 Cl
0.4864 0.5145 0.2342 Tl
0.5136 0.4855 0.7658 Tl
0.0000 0.0000 0.5000 Sm
0.0000 0.0000 0.0000 Mn
```

Summary:
Its space group is P-1, No. 2. The total energy is -4.1769 eV/atom. As for the formation energy without anion corrections: -1394 meV per atom.

CeV4: optimized geometry, PBE.

Cell and atoms, written as POSCAR:
```
CeV4
1.0
-3.8316 -1.8392 1.4121
2.3175 -3.1275 2.2149
0.0765 2.6257 3.6274
V Ce
4 1
Direct
0.5000 0.5000 0.0000 V
0.5000 0.0000 0.5000 V
0.0000 0.0000 0.0000 V
0.0000 0.5000 0.5000 V
0.5000 0.5000 0.5000 Ce
```

Summary:
Its space group is Pm-3m, No. 221. The total energy is -7.1621 eV/atom. For the energy of formation, the calculation gives 1.32 eV/atom.